No. 1
CeHoP: optimized geometry, PBE.

Geometry as POSCAR:
```
CeHoP
1.0
3.875 0.000 0.000
-1.938 3.356 0.000
0.000 0.000 6.511
Ce Ho P
1 1 1
Direct
0.000 0.000 0.000
0.667 0.333 0.509
0.333 0.667 0.262
```

Results
VASP energy ... -18.5 eV for the cell shown



No. 2
LiYCdHg: optimized geometry, PBE.

Geometry as POSCAR:
```
LiYCdHg
1.0
7.120 0.000 0.000
0.000 7.120 0.000
0.000 0.000 7.120
Li Y Cd Hg
4 4 4 4
Direct
0.000 0.000 0.000
0.000 0.500 0.500
0.500 0.000 0.500
0.500 0.500 0.000
0.000 0.000 0.500
0.000 0.500 0.000
0.500 0.000 0.000
0.500 0.500 0.500
0.250 0.250 0.750
0.250 0.750 0.250
0.750 0.250 0.250
0.750 0.750 0.750
0.250 0.250 0.250
0.250 0.750 0.750
0.750 0.250 0.750
0.750 0.750 0.250
```

Results
VASP energy ... -44.3 eV for the cell shown



No. 3
CeNd3Ir2: optimized geometry, PBE.

Geometry as POSCAR:
```
CeNd3Ir2
1.0
8.384 -2.163 0.000
8.384 2.163 0.000
-5.057 0.000 9.789
Ce Nd Ir
2 6 4
Direct
0.060 0.060 0.159
0.940 0.940 0.841
0.171 0.171 0.532
0.297 0.297 0.910
0.444 0.444 0.297
0.556 0.556 0.703
0.703 0.703 0.090
0.829 0.829 0.468
0.119 0.119 0.899
0.370 0.370 0.665
0.630 0.630 0.335
0.881 0.881 0.101
```

Results
VASP energy ... -82.1 eV for the cell shown



No. 4
Ac2Nd2SmY: optimized geometry, PBE.

Geometry as POSCAR:
```
Ac2Nd2SmY
1.0
7.388 0.000 0.000
0.000 5.943 0.000
0.000 0.000 10.226
Ac Nd Sm Y
4 4 2 2
Direct
0.000 0.000 0.000
0.250 0.500 0.174
0.500 0.000 0.000
0.750 0.500 0.826
0.250 0.000 0.347
0.250 0.500 0.824
0.750 0.000 0.653
0.750 0.500 0.176
0.250 0.000 0.664
0.750 0.000 0.336
0.000 0.500 0.500
0.500 0.500 0.500
```

Results
VASP energy ... -57.0 eV for the cell shown



No. 5
Ti2Ag2Cl: optimized geometry, PBE.

Geometry as POSCAR:
```
Ti2Ag2Cl
1.0
6.258 0.000 0.000
0.000 6.258 0.000
0.000 0.000 4.666
Ti Ag Cl
4 4 2
Direct
0.156 0.344 0.000
0.344 0.844 0.000
0.656 0.156 0.000
0.844 0.656 0.000
0.153 0.653 0.500
0.347 0.153 0.500
0.653 0.847 0.500
0.847 0.347 0.500
0.000 0.000 0.000
0.500 0.500 0.000
```

Results
Formation energy (no corrections) ... -83 meV per atom



No. 6
VFe2H: optimized geometry, PBE.

Geometry as POSCAR:
```
VFe2H
1.0
4.282 0.000 0.000
0.000 8.386 0.000
0.000 0.000 4.267
V Fe H
4 8 4
Direct
0.250 0.250 0.000
0.250 0.750 0.500
0.750 0.250 0.500
0.750 0.750 0.000
0.230 0.091 0.500
0.230 0.909 0.000
0.270 0.409 0.500
0.270 0.591 0.000
0.730 0.409 0.000
0.730 0.591 0.500
0.770 0.091 0.000
0.770 0.909 0.500
0.000 0.500 0.250
0.000 0.500 0.750
0.500 0.000 0.250
0.500 0.000 0.750
```

Results
VASP energy ... -118.4 eV for the cell shown



No. 7
Sn2AuBr: optimized geometry, PBE.

Geometry as POSCAR:
```
Sn2AuBr
1.0
3.986 0.000 0.000
-1.993 3.452 0.000
0.000 0.000 24.017
Sn Au Br
6 3 3
Direct
0.000 0.000 0.237
0.000 0.000 0.763
0.333 0.667 0.429
0.333 0.667 0.904
0.667 0.333 0.096
0.667 0.333 0.571
0.000 0.000 0.500
0.333 0.667 0.167
0.667 0.333 0.833
0.000 0.000 0.000
0.333 0.667 0.667
0.667 0.333 0.333
```

Results
Formation energy (no corrections) ... -242 meV per atom



No. 8
KFeSe: optimized geometry, PBE.

Geometry as POSCAR:
```
KFeSe
1.0
3.482 0.000 0.000
0.000 3.482 0.000
0.000 0.000 11.871
K Fe Se
2 2 2
Direct
0.000 0.000 0.000
0.500 0.500 0.500
0.000 0.000 0.731
0.500 0.500 0.231
0.000 0.000 0.275
0.500 0.500 0.775
```

Results
Formation energy (no corrections) ... -10 meV per atom



Number 1: density of states at the Fermi level 4.93 states/eV/f.u., total magnetic moment 0.6563 μB per atom. Number 2: density of states at the Fermi level 1.71 states/eV/f.u., total magnetic moment 0.0000 μB per atom. Number 3: density of states at the Fermi level 9.73 states/eV/f.u., total magnetic moment 0.1424 μB per atom. Number 4: density of states at the Fermi level 10.07 states/eV/f.u., total magnetic moment 0.0000 μB per atom. Number 5: density of states at the Fermi level 5.15 states/eV/f.u., total magnetic moment 0.0000 μB per atom. Number 6: density of states at the Fermi level 2.18 states/eV/f.u., total magnetic moment 0.7728 μB per atom. Number 7: density of states at the Fermi level 2.39 states/eV/f.u., total magnetic moment 0.0000 μB per atom. Number 8: density of states at the Fermi level 1.87 states/eV/f.u., total magnetic moment 0.8030 μB per atom.